PC2 (PBE, relaxed); offset from the most stable computed form = 1791.3 meV/atom; spin magnetization = 0.0 μB/f.u.; SG = P4/mmm
1.0
2.710 0.000 0.000
0.000 2.710 0.000
0.000 0.000 3.589
P C
1 2
direct
0.000 0.000 0.000
0.000 0.000 0.500
0.500 0.500 0.000